Na2PmInSe4: relaxed, PBE.

Lattice parameters (Å, degrees): 4.1382 7.1833 7.4831 108.96 90.00 90.00
Positions (direct):
Se (0.0000, 0.2496, 0.7638)
Se (0.5000, 0.7740, 0.7760)
Se (0.0000, 0.7504, 0.2362)
Se (0.5000, 0.2260, 0.2240)
Pm (0.5000, 0.5000, 0.0000)
In (0.0000, 0.0000, 0.0000)
Na (0.5000, 0.0000, 0.5000)
Na (0.0000, 0.5000, 0.5000)

Results
E ... -4.22 eV/atom
Crystal system ... monoclinic
Spin magnetization ... 0.0 μB/cell
Space group ... P2/m

---

LaHg2: relaxed, PBE.

Lattice parameters (Å, degrees): 5.3657 5.3657 6.6904 90.00 90.00 60.00
Positions (direct):
Hg (0.6667, 0.6667, 0.2500)
Hg (0.0000, 0.0000, 0.0000)
Hg (0.3333, 0.3333, 0.7500)
Hg (0.0000, 0.0000, 0.5000)
La (0.6667, 0.6667, 0.7500)
La (0.3333, 0.3333, 0.2500)

Results
Energy relative to the elements ... -0.484 eV per atom
Crystal system ... hexagonal
Spin magnetization ... 0.0 μB/cell
Space group ... P6_3/mmc

---

KTaIn2: relaxed, PBE.

Lattice parameters (Å, degrees): 2.9491 6.4898 5.6528 90.00 90.00 90.00
Positions (direct):
In (0.0000, 0.0000, 0.0000)
In (0.5000, 0.5000, 0.0000)
K (0.5000, 0.0000, 0.5000)
Ta (0.0000, 0.5000, 0.5000)

Results
Energy relative to the elements ... 0.859 eV per atom
E above lowest polymorph ... 0.622 eV/atom
Crystal system ... orthorhombic
Spin magnetization ... 1.2 μB/cell
Space group ... Pmmm

---

Sm2CuS: relaxed, PBE.

Lattice parameters (Å, degrees): 4.0181 3.9896 11.7917 99.74 90.00 90.00
Positions (direct):
S (0.7500, 0.8083, 0.6166)
S (0.2500, 0.1917, 0.3834)
Cu (0.2500, 0.4644, 0.9288)
Cu (0.7500, 0.5356, 0.0712)
Sm (0.7500, 0.6881, 0.3761)
Sm (0.2500, 0.0703, 0.1407)
Sm (0.2500, 0.3119, 0.6239)
Sm (0.7500, 0.9297, 0.8593)

Results
E above lowest polymorph ... 0.000 eV/atom
Crystal system ... orthorhombic
Spin magnetization ... 0.0 μB/cell
Space group ... Cmcm

---

KScZn2: relaxed, PBE.

Lattice parameters (Å, degrees): 8.2505 5.3535 3.2513 90.03 66.75 130.59
Positions (direct):
Zn (0.5000, 0.0000, 0.5000)
Zn (0.0000, 0.0000, 0.0000)
Sc (0.5000, 0.5000, 0.0000)
K (0.0000, 0.5000, 0.5000)

Results
Energy relative to the elements ... 0.148 eV per atom
E above lowest polymorph ... 0.156 eV/atom
Crystal system ... orthorhombic
Spin magnetization ... 0.0 μB/cell
Space group ... Cmmm

---

Al2CrAg: relaxed, PBE.

Lattice parameters (Å, degrees): 6.8492 6.8492 5.5937 52.25 52.25 90.00
Positions (direct):
Al (0.8750, 0.8728, 0.7500)
Al (0.1272, 0.6250, 0.2500)
Al (0.3750, 0.3772, 0.7500)
Al (0.6228, 0.1250, 0.2500)
Ag (0.0000, 0.0000, 0.0000)
Ag (0.7500, 0.2500, 0.5000)
Cr (0.5000, 0.5000, 0.0000)
Cr (0.2500, 0.7500, 0.5000)

Results
Energy relative to the elements ... 0.536 eV per atom
E above lowest polymorph ... 0.596 eV/atom
Crystal system ... tetragonal
Spin magnetization ... 0.0 μB/cell
Space group ... I-42d

---

Na2Zn2Hg: relaxed, PBE.

Lattice parameters (Å, degrees): 3.6330 3.6330 9.7730 79.29 79.29 90.00
Positions (direct):
Zn (0.2500, 0.7500, 0.5000)
Zn (0.7500, 0.2500, 0.5000)
Hg (0.0000, 0.0000, 0.0000)
Na (0.6080, 0.6080, 0.7839)
Na (0.3920, 0.3920, 0.2161)

Results
Energy relative to the elements ... -0.029 eV per atom
E above lowest polymorph ... 0.011 eV/atom
Crystal system ... tetragonal
Spin magnetization ... 0.0 μB/cell
Space group ... I4/mmm

---

ZnTcP2C: relaxed, PBE.

Lattice parameters (Å, degrees): 4.7082 3.6004 4.7082 90.00 90.00 90.00
Positions (direct):
P (0.5000, 0.0000, 0.0000)
P (0.0000, 0.0000, 0.5000)
C (0.0000, 0.5000, 0.0000)
Zn (0.0000, 0.0000, 0.0000)
Tc (0.5000, 0.5000, 0.5000)

Results
Energy relative to the elements ... 1.750 eV per atom
Crystal system ... tetragonal
Spin magnetization ... 2.4 μB/cell
Space group ... P4/mmm

---

In2PRh: relaxed, PBE.

Lattice parameters (Å, degrees): 5.2451 5.2451 3.9158 90.00 90.00 134.86
Positions (direct):
P (0.1735, 0.8265, 0.0000)
In (0.8966, 0.1034, 0.0000)
In (0.6006, 0.3994, 0.5000)
Rh (0.3148, 0.6852, 0.5000)

Results
Energy relative to the elements ... -0.235 eV per atom
Crystal system ... orthorhombic
Spin magnetization ... 0.0 μB/cell
Space group ... Amm2

---

HfHgRhPb2: relaxed, PBE.

Lattice parameters (Å, degrees): 5.5379 5.3915 5.5379 90.00 90.00 90.00
Positions (direct):
Hf (0.0000, 0.0000, 0.0000)
Hg (0.0000, 0.5000, 0.0000)
Pb (0.0000, 0.0000, 0.5000)
Pb (0.5000, 0.0000, 0.0000)
Rh (0.5000, 0.5000, 0.5000)

Results
Energy relative to the elements ... 1.117 eV per atom
Crystal system ... tetragonal
Spin magnetization ... 1.0 μB/cell
Space group ... P4/mmm

---

ErIn2: relaxed, PBE.

Lattice parameters (Å, degrees): 5.9705 5.9705 5.9705 60.00 60.00 60.00
Positions (direct):
In (0.6250, 0.6250, 0.6250)
In (0.1250, 0.6250, 0.6250)
In (0.6250, 0.1250, 0.6250)
In (0.6250, 0.6250, 0.1250)
Er (0.2500, 0.2500, 0.2500)
Er (0.0000, 0.0000, 0.0000)

Results
Energy relative to the elements ... -0.281 eV per atom
Crystal system ... cubic
Spin magnetization ... 0.0 μB/cell
Space group ... Fd-3m

---

Be3AlCl: relaxed, PBE.

Lattice parameters (Å, degrees): 4.5383 4.5383 4.5383 90.00 90.00 90.00
Positions (direct):
Be (0.0000, 0.0000, 0.5000)
Be (0.5000, 0.0000, 0.0000)
Be (0.0000, 0.5000, 0.0000)
Al (0.0000, 0.0000, 0.0000)
Cl (0.5000, 0.5000, 0.5000)

Results
E above lowest polymorph ... 0.000 eV/atom
Crystal system ... cubic
Spin magnetization ... 0.0 μB/cell
Space group ... Pm-3m

---

K2Na2LaO4: relaxed, PBE.

Lattice parameters (Å, degrees): 3.7769 9.0199 7.5384 133.52 104.51 90.00
Positions (direct):
O (0.2045, 0.1133, 0.4090)
O (0.7955, 0.8867, 0.5910)
O (0.4345, 0.7645, 0.8691)
O (0.5655, 0.2355, 0.1309)
Na (0.6440, 0.9077, 0.2881)
Na (0.3560, 0.0923, 0.7119)
K (0.8166, 0.4266, 0.6332)
K (0.1834, 0.5734, 0.3668)
La (0.0000, 0.0000, 0.0000)

Results
E ... -5.04 eV/atom
Crystal system ... monoclinic
Spin magnetization ... 1.1 μB/cell
Space group ... C2/m

---

LiTlTeIr2: relaxed, PBE.

Lattice parameters (Å, degrees): 4.9659 5.0153 4.9659 90.00 90.00 90.00
Positions (direct):
Tl (0.5000, 0.5000, 0.5000)
Li (0.0000, 0.5000, 0.0000)
Ir (0.5000, 0.0000, 0.0000)
Ir (0.0000, 0.0000, 0.5000)
Te (0.0000, 0.0000, 0.0000)

Results
E ... -4.25 eV/atom
Crystal system ... tetragonal
Spin magnetization ... 1.4 μB/cell
Space group ... P4/mmm

---

KCo2Tc: relaxed, PBE.

Lattice parameters (Å, degrees): 4.4227 4.4227 4.4227 60.00 60.00 60.00
Positions (direct):
K (0.5000, 0.5000, 0.5000)
Co (0.0000, 0.0000, 0.0000)
Co (0.2500, 0.2500, 0.2500)
Tc (0.7500, 0.7500, 0.7500)

Results
Energy relative to the elements ... 1.549 eV per atom
E above lowest polymorph ... 0.861 eV/atom
Crystal system ... cubic
Spin magnetization ... 3.5 μB/cell
Space group ... F-43m